This record from Alexandria describes an optimized crystal structure of Li5As. The functional is GGA-PBE.

The structure in POSCAR format:
```
Li5As
1.0
0.539 -4.252 2.959
1.829 0.423 4.858
-3.176 -0.770 4.055
Li As
5 1
Direct
0.626 0.123 0.626 Li
0.626 0.626 0.123 Li
0.626 0.626 0.626 Li
0.250 0.250 0.250 Li
0.123 0.626 0.626 Li
0.000 0.000 0.000 As
```

## Properties
Energy of formation from the pure elements in eV/atom: -0.15
Total magnetization in μB/f.u.: 0.0
Uncorrected energy in eV/atom: -2.523
Space group: F-43m

---

This record from Alexandria describes an optimized crystal structure of V4TcW5. The functional is GGA-PBE.

The structure in POSCAR format:
```
V4TcW5
1.0
-0.175 -0.400 3.063
-2.915 -0.993 -0.296
5.108 -14.526 -1.603
W V Tc
5 4 1
Direct
0.500 0.500 0.500 W
0.500 0.500 0.897 W
0.500 0.500 0.300 W
0.500 0.500 0.700 W
0.500 0.500 0.103 W
0.000 0.000 0.202 V
0.000 0.000 0.599 V
0.000 0.000 0.798 V
0.000 0.000 0.401 V
0.000 0.000 0.000 Tc
```

## Properties
Energy of formation from the pure elements in eV/atom: -0.10
Total magnetization in μB/f.u.: 0.0
Uncorrected energy in eV/atom: -11.260
Space group: P4/mmm

---

This record from Alexandria describes an optimized crystal structure of CeCdGa2. The functional is GGA-PBE.

The structure in POSCAR format:
```
CeCdGa2
1.0
-1.928 1.105 -2.692
-2.131 -2.735 0.404
-4.100 3.862 4.521
Ga Ce Cd
2 1 1
Direct
0.000 0.000 0.778 Ga
0.000 0.000 0.222 Ga
0.500 0.500 0.500 Ce
0.500 0.500 0.000 Cd
```

## Properties
Energy of formation from the pure elements in eV/atom: -0.22
Total magnetization in μB/f.u.: 1.0
Uncorrected energy in eV/atom: -3.441
Space group: P4/mmm

---

This record from Alexandria describes an optimized crystal structure of Li3AsPb. The functional is GGA-PBE.

The structure in POSCAR format:
```
Li3AsPb
1.0
-1.392 2.438 4.172
-1.315 -4.369 2.114
4.650 -0.506 1.847
Li Pb As
3 1 1
Direct
0.500 0.000 0.000 Li
0.000 0.500 0.000 Li
0.000 0.000 0.500 Li
0.000 0.000 0.000 Pb
0.500 0.500 0.500 As
```

## Properties
Energy of formation from the pure elements in eV/atom: 0.35
Total magnetization in μB/f.u.: 0.0
Uncorrected energy in eV/atom: -2.473
Space group: Pm-3m

---

This record from Alexandria describes an optimized crystal structure of CsK12Hg7. The functional is GGA-PBE.

The structure in POSCAR format:
```
CsK12Hg7
1.0
10.080 0.000 3.379
-4.997 8.920 3.756
0.086 0.000 10.892
K Hg Cs
12 7 1
Direct
0.095 0.464 0.814 K
0.570 0.338 0.074 K
0.091 0.186 0.278 K
0.356 0.926 0.412 K
0.768 0.412 0.662 K
0.644 0.074 0.588 K
0.368 0.278 0.536 K
0.430 0.662 0.926 K
0.909 0.814 0.722 K
0.232 0.588 0.338 K
0.632 0.722 0.464 K
0.905 0.536 0.186 K
0.971 0.200 0.640 Hg
0.229 0.840 0.800 Hg
0.611 0.640 0.160 Hg
0.029 0.800 0.360 Hg
0.389 0.360 0.840 Hg
0.500 0.000 0.000 Hg
0.771 0.160 0.200 Hg
0.000 0.000 0.000 Cs
```

## Properties
Energy of formation from the pure elements in eV/atom: -0.13
Total magnetization in μB/f.u.: 0.0
Uncorrected energy in eV/atom: -0.935
Space group: R-3

---

This record from Alexandria describes an optimized crystal structure of RbVAsIr2. The functional is GGA-PBE.

The structure in POSCAR format:
```
RbVAsIr2
1.0
-3.965 2.564 0.400
-1.693 -3.133 3.301
2.001 2.556 3.452
Rb V As Ir
1 1 1 2
Direct
0.500 0.500 0.500 Rb
0.000 0.000 0.000 V
0.000 0.500 0.000 As
0.000 0.000 0.500 Ir
0.500 0.000 0.000 Ir
```

## Properties
Energy of formation from the pure elements in eV/atom: 0.80
Total magnetization in μB/f.u.: 0.0
Uncorrected energy in eV/atom: -5.690
Space group: P4/mmm

---

Number 1: calculated volume 100 Å³ per cell. Number 2: calculated volume 148 Å³ per cell. Number 3: calculated volume 88 Å³ per cell. Number 4: calculated volume 127 Å³ per cell. Number 5: calculated volume 977 Å³ per cell. Number 6: calculated volume 109 Å³ per cell.